(1)
# Ba2ZnGe2 GGA-PBE relaxed
data_Ba2ZnGe2
_chemical_formula_sum 'Ba4 Zn2 Ge4'
_cell_length_a 4.906
_cell_length_b 4.353
_cell_length_c 13.839
_cell_angle_alpha 90.00
_cell_angle_beta 90.00
_cell_angle_gamma 90.00
_space_group_name_H-M_alt 'A m m 2'
_space_group_IT_number 38
loop_
_space_group_symop_operation_xyz
'x,y,z'
'-x,-y,z'
'-x,y,z'
'x,-y,z'
'x,y+1/2,z+1/2'
'-x,-y+1/2,z+1/2'
'-x,y+1/2,z+1/2'
'x,-y+1/2,z+1/2'
loop_
_atom_site_label
_atom_site_type_symbol
_atom_site_fract_x
_atom_site_fract_y
_atom_site_fract_z
_atom_site_occupancy
Ba1 Ba 0.000 0.000 0.000 1
Ba2 Ba 0.000 0.000 0.241 1
Zn1 Zn 0.500 0.000 0.420 1
Ge1 Ge 0.500 0.000 0.621 1
Ge2 Ge 0.500 0.000 0.819 1
# E = -3.218 eV/atom
# E above lowest polymorph = 126 meV per atom
# formation energy = -0.35 eV per atom
# magnetic moment = 0.1 μB per formula unit


(2)
# Ba2ZnGe GGA-PBE relaxed
data_Ba2ZnGe
_chemical_formula_sum 'Ba2 Zn1 Ge1'
_cell_length_a 5.795
_cell_length_b 5.795
_cell_length_c 4.061
_cell_angle_alpha 90.00
_cell_angle_beta 90.00
_cell_angle_gamma 90.00
_space_group_name_H-M_alt 'P 4/m m m'
_space_group_IT_number 123
_space_group_name_Hall '-P 4 2'
loop_
_atom_site_label
_atom_site_type_symbol
_atom_site_fract_x
_atom_site_fract_y
_atom_site_fract_z
_atom_site_occupancy
Ba1 Ba 0.000 0.500 0.000 1
Zn1 Zn 0.000 0.000 0.500 1
Ge1 Ge 0.500 0.500 0.500 1
# E = -2.731 eV/atom
# E above lowest polymorph = 81 meV per atom
# formation energy = -0.30 eV per atom
# magnetic moment = 0.0 μB per formula unit


(3)
# Ba2Zn3Ge5 GGA-PBE relaxed
data_Ba2Zn3Ge5
_chemical_formula_sum 'Ba2 Zn3 Ge5'
_cell_length_a 4.740
_cell_length_b 4.740
_cell_length_c 10.346
_cell_angle_alpha 90.00
_cell_angle_beta 90.00
_cell_angle_gamma 90.00
_space_group_name_H-M_alt 'P -4 m 2'
_space_group_IT_number 115
loop_
_space_group_symop_operation_xyz
'x,y,z'
'y,-x,-z'
'-x,-y,z'
'-y,x,-z'
'-x,y,z'
'-y,-x,-z'
'x,-y,z'
'y,x,-z'
loop_
_atom_site_label
_atom_site_type_symbol
_atom_site_fract_x
_atom_site_fract_y
_atom_site_fract_z
_atom_site_occupancy
Ba1 Ba 0.000 0.500 0.247 1
Zn1 Zn 0.000 0.000 0.000 1
Zn2 Zn 0.000 0.500 0.878 1
Ge1 Ge 0.000 0.000 0.500 1
Ge2 Ge 0.000 0.500 0.621 1
Ge3 Ge 0.500 0.500 0.000 1
Ge4 Ge 0.500 0.500 0.500 1
# E = -3.357 eV/atom
# E above lowest polymorph = 59 meV per atom
# formation energy = -0.28 eV per atom
# magnetic moment = 0.0 μB per formula unit


(4)
# Ba2ZnGe GGA-PBE relaxed
data_Ba2ZnGe
_chemical_formula_sum 'Ba8 Zn4 Ge4'
_cell_length_a 8.149
_cell_length_b 8.149
_cell_length_c 8.149
_cell_angle_alpha 90.00
_cell_angle_beta 90.00
_cell_angle_gamma 90.00
_space_group_name_H-M_alt 'F m -3 m'
_space_group_IT_number 225
_space_group_name_Hall '-F 4 2 3'
loop_
_atom_site_label
_atom_site_type_symbol
_atom_site_fract_x
_atom_site_fract_y
_atom_site_fract_z
_atom_site_occupancy
Ba1 Ba 0.250 0.250 0.250 1
Zn1 Zn 0.000 0.000 0.000 1
Ge1 Ge 0.000 0.000 0.500 1
# E = -2.796 eV/atom
# E above lowest polymorph = 17 meV per atom
# formation energy = -0.36 eV per atom
# magnetic moment = 0.0 μB per formula unit


(5)
# BaZnGe GGA-PBE relaxed
data_BaZnGe
_chemical_formula_sum 'Ba2 Zn2 Ge2'
_cell_length_a 4.696
_cell_length_b 4.697
_cell_length_c 7.761
_cell_angle_alpha 90.00
_cell_angle_beta 90.00
_cell_angle_gamma 90.00
_space_group_name_H-M_alt 'P m m 2'
_space_group_IT_number 25
loop_
_space_group_symop_operation_xyz
'x,y,z'
'-x,-y,z'
'-x,y,z'
'x,-y,z'
loop_
_atom_site_label
_atom_site_type_symbol
_atom_site_fract_x
_atom_site_fract_y
_atom_site_fract_z
_atom_site_occupancy
Ba1 Ba 0.000 0.000 0.000 1
Ba2 Ba 0.500 0.500 0.379 1
Zn1 Zn 0.000 0.000 0.499 1
Zn2 Zn 0.000 0.500 0.681 1
Ge1 Ge 0.500 0.000 0.690 1
Ge2 Ge 0.500 0.500 0.870 1
# E = -2.890 eV/atom
# formation energy = -0.29 eV per atom
# magnetic moment = 0.0 μB per formula unit


(6)
# Ba2ZnGe3 GGA-PBE relaxed
data_Ba2ZnGe3
_chemical_formula_sum 'Ba2 Zn1 Ge3'
_cell_length_a 4.460
_cell_length_b 5.042
_cell_length_c 7.519
_cell_angle_alpha 90.00
_cell_angle_beta 90.00
_cell_angle_gamma 90.00
_space_group_name_H-M_alt 'P m m 2'
_space_group_IT_number 25
loop_
_space_group_symop_operation_xyz
'x,y,z'
'-x,-y,z'
'-x,y,z'
'x,-y,z'
loop_
_atom_site_label
_atom_site_type_symbol
_atom_site_fract_x
_atom_site_fract_y
_atom_site_fract_z
_atom_site_occupancy
Ba1 Ba 0.000 0.000 0.000 1
Ba2 Ba 0.500 0.000 0.480 1
Zn1 Zn 0.000 0.500 0.664 1
Ge1 Ge 0.000 0.500 0.327 1
Ge2 Ge 0.500 0.500 0.152 1
Ge3 Ge 0.500 0.500 0.813 1
# E = -3.664 eV/atom
# E above lowest polymorph = 6 meV per atom
# formation energy = -0.50 eV per atom
# magnetic moment = 0.0 μB per formula unit


(7)
# BaZn6Ge2 GGA-PBE relaxed
data_BaZn6Ge2
_chemical_formula_sum 'Ba1 Zn6 Ge2'
_cell_length_a 4.410
_cell_length_b 4.410
_cell_length_c 8.913
_cell_angle_alpha 90.00
_cell_angle_beta 90.00
_cell_angle_gamma 90.00
_space_group_name_H-M_alt 'P 4/m m m'
_space_group_IT_number 123
_space_group_name_Hall '-P 4 2'
loop_
_atom_site_label
_atom_site_type_symbol
_atom_site_fract_x
_atom_site_fract_y
_atom_site_fract_z
_atom_site_occupancy
Ba1 Ba 0.000 0.000 0.000 1
Zn1 Zn 0.000 0.000 0.500 1
Zn2 Zn 0.000 0.500 0.321 1
Zn3 Zn 0.500 0.500 0.500 1
Ge1 Ge 0.500 0.500 0.161 1
# E = -2.253 eV/atom
# formation energy = -0.16 eV per atom
# magnetic moment = 0.0 μB per formula unit


(8)
# BaZn3Ge2 GGA-PBE relaxed
data_BaZn3Ge2
_chemical_formula_sum 'Ba4 Zn12 Ge8'
_cell_length_a 16.436
_cell_length_b 4.369
_cell_length_c 7.917
_cell_angle_alpha 90.00
_cell_angle_beta 113.75
_cell_angle_gamma 90.00
_space_group_name_H-M_alt 'C 1 2/m 1'
_space_group_IT_number 12
loop_
_space_group_symop_operation_xyz
'x,y,z'
'-x,-y,-z'
'-x,y,-z'
'x,-y,z'
'x+1/2,y+1/2,z'
'-x+1/2,-y+1/2,-z'
'-x+1/2,y+1/2,-z'
'x+1/2,-y+1/2,z'
loop_
_atom_site_label
_atom_site_type_symbol
_atom_site_fract_x
_atom_site_fract_y
_atom_site_fract_z
_atom_site_occupancy
Ba1 Ba 0.151 0.000 0.070 1
Zn1 Zn 0.039 0.000 0.377 1
Zn2 Zn 0.090 0.500 0.657 1
Zn3 Zn 0.181 0.500 0.441 1
Ge1 Ge 0.016 0.500 0.181 1
Ge2 Ge 0.189 0.000 0.669 1
# E = -2.758 eV/atom
# formation energy = -0.26 eV per atom
# magnetic moment = 0.0 μB per formula unit


(9)
# Ba3Zn2Ge4 GGA-PBE relaxed
data_Ba3Zn2Ge4
_chemical_formula_sum 'Ba6 Zn4 Ge8'
_cell_length_a 12.563
_cell_length_b 4.439
_cell_length_c 9.115
_cell_angle_alpha 90.00
_cell_angle_beta 93.57
_cell_angle_gamma 90.00
_space_group_name_H-M_alt 'C 1 2/m 1'
_space_group_IT_number 12
loop_
_space_group_symop_operation_xyz
'x,y,z'
'-x,-y,-z'
'-x,y,-z'
'x,-y,z'
'x+1/2,y+1/2,z'
'-x+1/2,-y+1/2,-z'
'-x+1/2,y+1/2,-z'
'x+1/2,-y+1/2,z'
loop_
_atom_site_label
_atom_site_type_symbol
_atom_site_fract_x
_atom_site_fract_y
_atom_site_fract_z
_atom_site_occupancy
Ba1 Ba 0.000 0.000 0.000 1
Ba2 Ba 0.161 0.500 0.671 1
Zn1 Zn 0.114 0.500 0.287 1
Ge1 Ge 0.060 0.000 0.389 1
Ge2 Ge 0.212 0.500 0.052 1
# E = -3.495 eV/atom
# E above lowest polymorph = 0 meV per atom
# formation energy = -0.52 eV per atom
# magnetic moment = 0.0 μB per formula unit


(10)
# Ba2ZnGe2 GGA-PBE relaxed
data_Ba2ZnGe2
_chemical_formula_sum 'Ba4 Zn2 Ge4'
_cell_length_a 8.532
_cell_length_b 8.532
_cell_length_c 4.574
_cell_angle_alpha 90.00
_cell_angle_beta 90.00
_cell_angle_gamma 90.00
_space_group_name_H-M_alt 'P 4/m b m'
_space_group_IT_number 127
_space_group_name_Hall '-P 4 2ab'
loop_
_atom_site_label
_atom_site_type_symbol
_atom_site_fract_x
_atom_site_fract_y
_atom_site_fract_z
_atom_site_occupancy
Ba1 Ba 0.194 0.306 0.000 1
Zn1 Zn 0.000 0.000 0.500 1
Ge1 Ge 0.100 0.600 0.500 1
# E = -3.183 eV/atom
# E above lowest polymorph = 161 meV per atom
# formation energy = -0.31 eV per atom
# magnetic moment = 0.0 μB per formula unit


(11)
# Ba3Zn4Ge4 GGA-PBE relaxed
data_Ba3Zn4Ge4
_chemical_formula_sum 'Ba6 Zn8 Ge8'
_cell_length_a 26.329
_cell_length_b 4.486
_cell_length_c 4.805
_cell_angle_alpha 90.00
_cell_angle_beta 100.49
_cell_angle_gamma 90.00
_space_group_name_H-M_alt 'C 1 2/m 1'
_space_group_IT_number 12
loop_
_space_group_symop_operation_xyz
'x,y,z'
'-x,-y,-z'
'-x,y,-z'
'x,-y,z'
'x+1/2,y+1/2,z'
'-x+1/2,-y+1/2,-z'
'-x+1/2,y+1/2,-z'
'x+1/2,-y+1/2,z'
loop_
_atom_site_label
_atom_site_type_symbol
_atom_site_fract_x
_atom_site_fract_y
_atom_site_fract_z
_atom_site_occupancy
Ba1 Ba 0.000 0.000 0.000 1
Ba2 Ba 0.151 0.500 0.152 1
Zn1 Zn 0.097 0.000 0.597 1
Zn2 Zn 0.249 0.500 0.749 1
Ge1 Ge 0.050 0.500 0.551 1
Ge2 Ge 0.197 0.000 0.695 1
# E = -3.106 eV/atom
# formation energy = -0.44 eV per atom
# magnetic moment = 0.0 μB per formula unit